Entry 1:
A relaxed structure of TlRu4W, computed with PBE.

```
TlRu4W
1.0
-2.729 -3.483 2.616
-4.437 -1.753 -1.913
-0.326 -4.832 -1.723
Tl Ru W
1 4 1
Cartesian
-5.619 -7.551 -0.764
-4.173 -5.516 0.925
-2.973 -6.190 -1.243
-5.027 -4.652 -1.338
-2.810 -3.777 -0.382
0.000 0.000 0.000
```

Properties
uncorrected energy = -8.144 eV per atom
density of states at the Fermi level = 1.346 states/eV/atom
formation energy from the elements = 3.56 eV per formula unit


Entry 2:
A relaxed structure of HfNbPb2O6, computed with PBE.

```
HfNbPb2O6
1.0
-2.898 -4.051 3.053
3.393 -4.170 -2.311
5.341 0.885 6.245
Hf Nb Pb O
2 2 4 12
Cartesian
2.070 -2.626 4.071
2.545 -3.127 -1.733
5.215 -2.684 1.389
-0.600 -3.069 0.949
2.428 -4.935 1.346
4.847 -0.376 4.101
5.110 -4.491 4.481
2.187 -0.817 0.991
0.721 -2.847 2.497
3.416 -2.400 5.648
3.894 -2.906 -0.159
6.540 -2.467 2.935
5.341 -4.720 1.570
3.876 -6.769 3.114
3.658 -2.651 2.717
2.192 -4.700 4.261
-0.475 -5.104 1.130
0.957 -3.101 -0.379
-0.726 -1.032 0.767
-2.159 -3.035 2.277
```

Properties
uncorrected energy = -7.921 eV per atom
density of states at the Fermi level = 0.413 states/eV/atom
formation energy from raw total energies = -2.203 eV per atom


Entry 3:
A relaxed structure of SbAs2Br, computed with PBE.

```
SbAs2Br
1.0
-3.960 2.826 1.269
-1.624 3.597 -3.115
-4.368 -0.559 -2.426
Sb As Br
1 2 1
Cartesian
-4.976 2.932 -2.136
-2.488 1.466 -1.068
-7.464 4.397 -3.204
0.000 0.000 0.000
```

Properties
uncorrected energy = -3.359 eV per atom
density of states at the Fermi level = 0.574 states/eV/atom
formation energy from raw total energies = 0.414 eV per atom


Entry 4:
A relaxed structure of Ca3Ce3PN8, computed with PBE.

```
Ca3Ce3PN8
1.0
-1.997 -6.432 -0.867
0.639 2.517 6.445
-5.192 2.139 -3.911
Ca Ce P N
3 3 1 8
Cartesian
0.000 0.000 0.000
0.320 1.259 3.223
-0.679 -1.958 2.789
-3.594 -2.147 -2.389
-3.275 -0.888 0.834
-2.276 2.328 1.267
-2.596 1.070 -1.955
-1.610 0.210 2.148
-4.940 -1.986 -0.481
-2.510 -2.971 1.230
-4.039 1.195 0.437
-3.297 -4.567 -1.937
-3.252 2.791 3.604
-2.035 -0.499 -1.388
-4.515 -1.277 3.055
```

Properties
uncorrected energy = -7.212 eV per atom
density of states at the Fermi level = 0.604 states/eV/atom
formation energy from raw total energies = -0.824 eV per atom